No. 1
Compound: ScCoW2Au
Source: the Alexandria database
Functional: PBE
Structure: optimized geometry

```
ScCoW2Au
1.0
4.6722 0.0000 0.0000
0.0000 4.6722 0.0000
0.0000 0.0000 4.2381
Sc Co W Au
1 1 2 1
Direct
0.0000 0.0000 0.0000 Sc
0.0000 0.0000 0.5000 Co
0.0000 0.5000 0.0000 W
0.5000 0.0000 0.0000 W
0.5000 0.5000 0.5000 Au
```

Density of states at the Fermi level (states/eV/cell): 5.07
DFT formation energy (eV/atom): 2.06
Magnetization (Bohr magnetons per cell): 0.90
Density (Mg/m³): 12.00

---

No. 2
Compound: ScZnCoAu
Source: the Alexandria database
Functional: PBE
Structure: optimized geometry

```
ScZnCoAu
1.0
0.0000 3.1612 3.1612
3.1612 0.0000 3.1612
3.1612 3.1612 0.0000
Sc Zn Co Au
1 1 1 1
Direct
0.0000 0.0000 0.0000 Sc
0.5000 0.5000 0.5000 Zn
0.7500 0.7500 0.7500 Co
0.2500 0.2500 0.2500 Au
```

Density of states at the Fermi level (states/eV/cell): 1.75
DFT formation energy (eV/atom): -0.33
Magnetization (Bohr magnetons per cell): 0.91
Density (Mg/m³): 9.63

---

No. 3
Compound: ZrScCoAu
Source: the Alexandria database
Functional: PBE
Structure: optimized geometry

```
ZrScCoAu
1.0
0.0000 3.3095 3.3095
3.3095 0.0000 3.3095
3.3095 3.3095 0.0000
Zr Sc Co Au
1 1 1 1
Direct
0.0000 0.0000 0.0000 Zr
0.5000 0.5000 0.5000 Sc
0.7500 0.7500 0.7500 Co
0.2500 0.2500 0.2500 Au
```

Density of states at the Fermi level (states/eV/cell): 3.65
DFT formation energy (eV/atom): -0.40
Magnetization (Bohr magnetons per cell): 0.42
Density (Mg/m³): 8.98

---

No. 4
Compound: Co4AuSe
Source: the Alexandria database
Functional: PBE
Structure: optimized geometry

```
Co4AuSe
1.0
0.0000 3.4533 3.4533
3.4533 0.0000 3.4533
3.4533 3.4533 0.0000
Co Au Se
4 1 1
Direct
0.1252 0.1252 0.1252 Co
0.1252 0.1252 0.6244 Co
0.1252 0.6244 0.1252 Co
0.6244 0.1252 0.1252 Co
0.5000 0.5000 0.5000 Au
0.7500 0.7500 0.7500 Se
```

Density of states at the Fermi level (states/eV/cell): 7.45
Energy (hartree per atom): -0.201
Magnetization (Bohr magnetons per cell): 6.95
Density (Mg/m³): 10.32

---

No. 5
Compound: CoAu3Se
Source: the Alexandria database
Functional: PBE
Structure: optimized geometry

```
CoAu3Se
1.0
4.7748 0.0000 0.0000
0.0000 4.7748 0.0000
0.0000 0.0000 4.7748
Co Au Se
1 3 1
Direct
0.0000 0.0000 0.0000 Co
0.0000 0.0000 0.5000 Au
0.0000 0.5000 0.0000 Au
0.5000 0.0000 0.0000 Au
0.5000 0.5000 0.5000 Se
```

Density of states at the Fermi level (states/eV/cell): 4.69
Energy above the lowest structure with this stoichiometry (eV/atom): 0.000
Magnetization (Bohr magnetons per cell): 1.97
Density (Mg/m³): 11.12

---

No. 6
Compound: Co3AuSe
Source: the Alexandria database
Functional: PBE
Structure: optimized geometry

```
Co3AuSe
1.0
4.3269 0.0000 0.0000
0.0000 4.3269 0.0000
0.0000 0.0000 4.3269
Co Au Se
3 1 1
Direct
0.0000 0.0000 0.5000 Co
0.0000 0.5000 0.0000 Co
0.5000 0.0000 0.0000 Co
0.5000 0.5000 0.5000 Au
0.0000 0.0000 0.0000 Se
```

Density of states at the Fermi level (states/eV/cell): 12.39
Energy above the lowest structure with this stoichiometry (eV/atom): 0.000
Magnetization (Bohr magnetons per cell): 3.93
Density (Mg/m³): 9.28

---

No. 7
Compound: Co3AuSe
Source: the Alexandria database
Functional: PBE
Structure: optimized geometry

```
Co3AuSe
1.0
4.7193 0.0000 0.0000
0.0000 4.7193 0.0000
0.0000 0.0000 4.7193
Co Au Se
3 1 1
Direct
0.0000 0.0000 0.5000 Co
0.0000 0.5000 0.0000 Co
0.5000 0.0000 0.0000 Co
0.0000 0.0000 0.0000 Au
0.5000 0.5000 0.5000 Se
```

Density of states at the Fermi level (states/eV/cell): 17.50
Energy above the lowest structure with this stoichiometry (eV/atom): 0.784
Magnetization (Bohr magnetons per cell): 6.09
Density (Mg/m³): 7.15

---

No. 8
Compound: CoAu3Se
Source: the Alexandria database
Functional: PBE
Structure: optimized geometry

```
CoAu3Se
1.0
4.9748 0.0000 0.0000
0.0000 4.9748 0.0000
0.0000 0.0000 4.9748
Co Au Se
1 3 1
Direct
0.0000 0.0000 0.0000 Co
0.0000 0.5000 0.5000 Au
0.5000 0.0000 0.5000 Au
0.5000 0.5000 0.0000 Au
0.5000 0.5000 0.5000 Se
```

Density of states at the Fermi level (states/eV/cell): 12.44
Energy above the lowest structure with this stoichiometry (eV/atom): 0.197
Magnetization (Bohr magnetons per cell): 2.36
Density (Mg/m³): 9.83

---

No. 9
Compound: CoAuSe4
Source: the Alexandria database
Functional: PBE
Structure: optimized geometry

```
CoAuSe4
1.0
4.8177 0.0000 0.0000
0.0000 3.6943 0.0000
-0.0652 0.0000 7.1778
Co Au Se
1 1 4
Direct
0.0000 0.0000 0.0000 Co
0.0000 0.5000 0.5000 Au
0.2071 0.0000 0.3022 Se
0.2885 0.5000 0.9000 Se
0.7115 0.5000 0.1000 Se
0.7929 0.0000 0.6978 Se
```

Density of states at the Fermi level (states/eV/cell): 0.80
Energy above the lowest structure with this stoichiometry (eV/atom): 0.000
Magnetization (Bohr magnetons per cell): 0.00
Density (Mg/m³): 7.43

---

No. 10
Compound: CoAu4Se
Source: the Alexandria database
Functional: PBE
Structure: optimized geometry

```
CoAu4Se
1.0
0.0000 3.8859 3.8859
3.8859 0.0000 3.8859
3.8859 3.8859 0.0000
Co Au Se
1 4 1
Direct
0.0000 0.0000 0.0000 Co
0.3746 0.3746 0.3746 Au
0.3746 0.3746 0.8762 Au
0.3746 0.8762 0.3746 Au
0.8762 0.3746 0.3746 Au
0.7500 0.7500 0.7500 Se
```

Density of states at the Fermi level (states/eV/cell): 4.37
Energy (hartree per atom): -0.127
Magnetization (Bohr magnetons per cell): 2.53
Density (Mg/m³): 13.10

---

No. 11
Compound: CoAuSe4
Source: the Alexandria database
Functional: PBE
Structure: optimized geometry

```
CoAuSe4
1.0
0.0000 3.9897 3.9897
3.9897 0.0000 3.9897
3.9897 3.9897 0.0000
Co Au Se
1 1 4
Direct
0.0000 0.0000 0.0000 Co
0.2500 0.2500 0.2500 Au
0.1242 0.6253 0.6253 Se
0.6253 0.1242 0.6253 Se
0.6253 0.6253 0.1242 Se
0.6253 0.6253 0.6253 Se
```

Density of states at the Fermi level (states/eV/cell): 6.95
Energy above the lowest structure with this stoichiometry (eV/atom): 1.146
Magnetization (Bohr magnetons per cell): 2.49
Density (Mg/m³): 7.47

---

No. 12
Compound: CoSnAu2Se
Source: the Alexandria database
Functional: PBE
Structure: optimized geometry

```
CoSnAu2Se
1.0
5.1163 0.0000 0.0000
0.0000 5.1163 0.0000
0.0000 0.0000 5.5133
Co Sn Au Se
1 1 2 1
Direct
0.0000 0.0000 0.0000 Co
0.5000 0.5000 0.5000 Sn
0.0000 0.5000 0.5000 Au
0.5000 0.0000 0.5000 Au
0.5000 0.5000 0.0000 Se
```

Density of states at the Fermi level (states/eV/cell): 6.20
Energy (hartree per atom): -0.118
Magnetization (Bohr magnetons per cell): 2.46
Density (Mg/m³): 7.48

---

No. 13
Compound: Th6Co2AuSe3
Source: the Alexandria database
Functional: PBE
Structure: optimized geometry

```
Th6Co2AuSe3
1.0
9.1239 -2.1118 0.0000
9.1239 2.1118 0.0000
-2.6668 0.0000 8.2464
Th Co Au Se
6 2 1 3
Direct
0.0187 0.0187 0.2633 Th
0.3194 0.3194 0.4301 Th
0.3324 0.3324 0.8887 Th
0.6676 0.6676 0.1113 Th
0.6806 0.6806 0.5699 Th
0.9813 0.9813 0.7367 Th
0.1695 0.1695 0.3379 Co
0.8305 0.8305 0.6621 Co
0.5000 0.5000 0.0000 Au
0.1610 0.1610 0.8352 Se
0.5000 0.5000 0.5000 Se
0.8390 0.8390 0.1648 Se
```

Density of states at the Fermi level (states/eV/cell): 8.00
Energy (hartree per atom): -0.257
Magnetization (Bohr magnetons per cell): 0.00
Density (Mg/m³): 10.16

---

No. 14
Compound: Y2CoAuSe
Source: the Alexandria database
Functional: PBE
Structure: optimized geometry

```
Y2CoAuSe
1.0
5.3260 0.0000 0.0000
0.0000 5.3260 0.0000
0.0000 0.0000 4.8255
Y Co Au Se
2 1 1 1
Direct
0.0000 0.5000 0.0000 Y
0.5000 0.0000 0.0000 Y
0.0000 0.0000 0.5000 Co
0.5000 0.5000 0.5000 Au
0.5000 0.5000 0.0000 Se
```

Density of states at the Fermi level (states/eV/cell): 4.12
Energy (hartree per atom): -0.192
Magnetization (Bohr magnetons per cell): 1.49
Density (Mg/m³): 6.22

---

No. 15
Compound: CoSiAu2
Source: the Alexandria database
Functional: PBE
Structure: optimized geometry

```
CoSiAu2
1.0
1.4557 0.8404 8.3495
-1.4557 0.8404 8.3495
0.0000 -1.6809 8.3495
Co Si Au
1 1 2
Direct
0.0000 0.0000 0.0000 Co
0.2712 0.2712 0.2712 Si
0.5204 0.5204 0.5204 Au
0.7530 0.7530 0.7530 Au
```

Density of states at the Fermi level (states/eV/cell): 2.25
Energy (hartree per atom): -0.173
Magnetization (Bohr magnetons per cell): 1.22
Density (Mg/m³): 13.03

---

No. 16
Compound: CoSiAu2
Source: the Alexandria database
Functional: PBE
Structure: optimized geometry

```
CoSiAu2
1.0
2.9175 0.0000 0.0000
0.0000 2.9175 0.0000
0.0000 0.0000 7.4394
Co Si Au
1 1 2
Direct
0.0000 0.0000 0.0000 Co
0.0000 0.0000 0.5000 Si
0.5000 0.5000 0.2406 Au
0.5000 0.5000 0.7594 Au
```

Density of states at the Fermi level (states/eV/cell): 3.52
Energy (hartree per atom): -0.164
Magnetization (Bohr magnetons per cell): 1.84
Density (Mg/m³): 12.61

---

No. 17
Compound: CoSiAu2
Source: the Alexandria database
Functional: PBE
Structure: optimized geometry

```
CoSiAu2
1.0
2.9513 0.0000 0.0000
0.0000 4.1755 0.0000
-1.1521 0.0000 5.1070
Co Si Au
1 1 2
Direct
0.0000 0.0000 0.0000 Co
0.0000 0.0000 0.5000 Si
0.3455 0.5000 0.7423 Au
0.6545 0.5000 0.2577 Au
```

Density of states at the Fermi level (states/eV/cell): 3.69
Energy (hartree per atom): -0.166
Magnetization (Bohr magnetons per cell): 1.46
Density (Mg/m³): 12.69

---

No. 18
Compound: CoSiAu2
Source: the Alexandria database
Functional: PBE
Structure: optimized geometry

```
CoSiAu2
1.0
1.4592 0.8425 8.5675
-1.4592 0.8425 8.5675
0.0000 -1.6850 8.5675
Co Si Au
1 1 2
Direct
0.0000 0.0000 0.0000 Co
0.5000 0.5000 0.5000 Si
0.2504 0.2504 0.2504 Au
0.7496 0.7496 0.7496 Au
```

Density of states at the Fermi level (states/eV/cell): 2.60
Energy (hartree per atom): -0.164
Magnetization (Bohr magnetons per cell): 1.80
Density (Mg/m³): 12.64

---

No. 19
Compound: CoSiAu
Source: the Alexandria database
Functional: PBE
Structure: optimized geometry

```
CoSiAu
1.0
-1.4666 1.4666 4.7669
1.4666 -1.4666 4.7669
1.4666 1.4666 -4.7669
Co Si Au
1 1 1
Direct
0.0000 0.0000 0.0000 Co
0.6008 0.6008 0.0000 Si
0.2933 0.2933 0.0000 Au
```

Density of states at the Fermi level (states/eV/cell): 1.93
Energy above the lowest structure with this stoichiometry (eV/atom): 0.000
Magnetization (Bohr magnetons per cell): 0.25
Density (Mg/m³): 11.50

---

No. 20
Compound: CoSiAu
Source: the Alexandria database
Functional: PBE
Structure: optimized geometry

```
CoSiAu
1.0
3.8634 0.0000 0.0000
-1.9317 3.3458 0.0000
0.0000 0.0000 3.2756
Co Si Au
1 1 1
Direct
0.0000 0.0000 0.0000 Co
0.6667 0.3333 0.0000 Si
0.3333 0.6667 0.5000 Au
```

Density of states at the Fermi level (states/eV/cell): 1.69
Energy above the lowest structure with this stoichiometry (eV/atom): 0.002
Magnetization (Bohr magnetons per cell): 0.01
Density (Mg/m³): 11.14

---

No. 21
Compound: CoSiAu2
Source: the Alexandria database
Functional: PBE
Structure: optimized geometry

```
CoSiAu2
1.0
-3.5467 3.5467 2.6148
3.5467 -3.5467 2.6148
3.5467 3.5467 -2.6148
Co Si Au
2 2 4
Direct
0.0000 0.0000 0.0000 Co
0.7500 0.2500 0.5000 Co
0.2500 0.7500 0.5000 Si
0.5000 0.5000 0.0000 Si
0.1480 0.1250 0.5230 Au
0.3750 0.8520 0.9770 Au
0.6020 0.6250 0.4770 Au
0.8750 0.3980 0.0230 Au
```

Density of states at the Fermi level (states/eV/cell): 9.55
Energy (hartree per atom): -0.164
Magnetization (Bohr magnetons per cell): 2.37
Density (Mg/m³): 12.14

---

No. 22
Compound: CoSi3Au
Source: the Alexandria database
Functional: PBE
Structure: optimized geometry

```
CoSi3Au
1.0
4.3728 0.0000 0.0000
0.0000 4.3728 0.0000
0.0000 0.0000 4.3728
Co Si Au
1 3 1
Direct
0.0000 0.0000 0.0000 Co
0.0000 0.0000 0.5000 Si
0.0000 0.5000 0.0000 Si
0.5000 0.0000 0.0000 Si
0.5000 0.5000 0.5000 Au
```

Density of states at the Fermi level (states/eV/cell): 5.47
Energy above the lowest structure with this stoichiometry (eV/atom): 0.000
Magnetization (Bohr magnetons per cell): 0.00
Density (Mg/m³): 6.76

---

No. 23
Compound: CoSiAu2
Source: the Alexandria database
Functional: PBE
Structure: optimized geometry

```
CoSiAu2
1.0
3.9423 0.0000 0.0000
0.0000 3.9423 0.0000
0.0000 0.0000 3.8802
Co Si Au
1 1 2
Direct
0.0000 0.0000 0.0000 Co
0.5000 0.5000 0.0000 Si
0.0000 0.5000 0.5000 Au
0.5000 0.0000 0.5000 Au
```

Density of states at the Fermi level (states/eV/cell): 2.85
Energy (hartree per atom): -0.167
Magnetization (Bohr magnetons per cell): 1.03
Density (Mg/m³): 13.24